{
  "formula": "Ni4Pt15Rh",
  "functional": "PBE-GGA",
  "state": "optimized geometry",
  "lattice_angstrom": [[3.886, 0.000, 0.000], [0.000, 3.886, 0.000], [0.000, 0.000, 19.618]],
  "species": ["Ni", "Ni", "Ni", "Ni", "Pt", "Pt", "Pt", "Pt", "Pt", "Pt", "Pt", "Pt", "Pt", "Pt", "Pt", "Pt", "Pt", "Pt", "Pt", "Rh"],
  "fractional_positions": [[0.000, 0.000, 0.599], [0.000, 0.000, 0.401], [0.000, 0.000, 0.202], [0.000, 0.000, 0.798], [0.500, 0.500, 0.000], [0.500, 0.500, 0.797], [0.500, 0.000, 0.500], [0.000, 0.500, 0.302], [0.500, 0.500, 0.599], [0.500, 0.000, 0.302], [0.500, 0.500, 0.203], [0.500, 0.000, 0.698], [0.000, 0.500, 0.103], [0.500, 0.500, 0.401], [0.000, 0.500, 0.500], [0.000, 0.500, 0.698], [0.500, 0.000, 0.897], [0.500, 0.000, 0.103], [0.000, 0.500, 0.897], [0.000, 0.000, 0.000]],
  "total_energy_ev_per_atom": -6.1150,
  "ef_ev_per_atom": -0.06
}

=====

{
  "formula": "Ni4Pt2Rh5",
  "functional": "PBE-GGA",
  "state": "optimized geometry",
  "lattice_angstrom": [[2.664, 0.000, 0.000], [0.000, 6.737, 0.073], [0.000, 1.127, 8.528]],
  "species": ["Ni", "Ni", "Ni", "Ni", "Pt", "Pt", "Rh", "Rh", "Rh", "Rh", "Rh"],
  "fractional_positions": [[0.500, 0.174, 0.101], [0.500, 0.826, 0.899], [0.500, 0.277, 0.558], [0.500, 0.723, 0.442], [0.000, 0.921, 0.646], [0.000, 0.079, 0.354], [0.000, 0.825, 0.149], [0.000, 0.500, 0.000], [0.000, 0.529, 0.689], [0.000, 0.471, 0.311], [0.000, 0.175, 0.851]],
  "total_energy_ev_per_atom": -6.3781,
  "ef_ev_per_atom": 0.16
}

=====

{
  "formula": "Ni14PtRh",
  "functional": "PBE-GGA",
  "state": "optimized geometry",
  "lattice_angstrom": [[-2.094, -2.274, 4.013], [-1.491, -1.337, -4.653], [5.871, -5.791, -0.217]],
  "species": ["Ni", "Ni", "Ni", "Ni", "Ni", "Ni", "Ni", "Ni", "Ni", "Ni", "Ni", "Ni", "Ni", "Ni", "Rh", "Pt"],
  "fractional_positions": [[0.373, 0.627, 0.756], [0.375, 0.122, 0.242], [0.373, 0.627, 0.244], [0.043, 0.456, 0.500], [0.375, 0.122, 0.758], [0.874, 0.126, 0.755], [0.878, 0.625, 0.242], [0.206, 0.294, 0.000], [0.706, 0.794, 0.000], [0.878, 0.625, 0.758], [0.707, 0.293, 0.000], [0.207, 0.793, 0.000], [0.544, 0.957, 0.500], [0.874, 0.126, 0.245], [0.044, 0.956, 0.500], [0.544, 0.456, 0.500]],
  "total_energy_ev_per_atom": -5.8772,
  "ef_ev_per_atom": 0.02
}